# GGA-PBE HfPaReMo, optimized geometry
data_HfPaReMo
_cell_length_a 6.750
_cell_length_b 6.750
_cell_length_c 6.750
_cell_angle_alpha 90.00
_cell_angle_beta 90.00
_cell_angle_gamma 90.00
_symmetry_space_group_name_H-M 'F -4 3 m'
_symmetry_Int_Tables_number 216
_symmetry_space_group_name_Hall 'F -4 2 3'
loop_
_atom_site_label
_atom_site_type_symbol
_atom_site_fract_x
_atom_site_fract_y
_atom_site_fract_z
_atom_site_occupancy
Hf1 Hf 0.000 0.000 0.000 1
Pa1 Pa 0.000 0.000 0.500 1
Re1 Re 0.250 0.250 0.750 1
Mo1 Mo 0.250 0.250 0.250 1
# E_form in eV/f.u.: -0.5